(1)
VASP calculation (GGA-PBE) on a geometry-optimized Na3TeSe structure.

- Raw formation energy: -0.47 eV/atom
- Calculated density: 2.3 g cm⁻³
- SG: Pm-3m
- Raw total energy: -2.582 eV per atom

Geometry as POSCAR:
```
Na3TeSe
1.0
5.8004 0.0000 0.0000
0.0000 5.8004 0.0000
0.0000 0.0000 5.8004
Na Te Se
3 1 1
Direct
0.0000 0.0000 0.5000 Na
0.0000 0.5000 0.0000 Na
0.5000 0.0000 0.0000 Na
0.0000 0.0000 0.0000 Te
0.5000 0.5000 0.5000 Se
```

***

(2)
VASP calculation (GGA-PBE) on a geometry-optimized NaTeSe structure.

- Raw formation energy: -0.46 eV/atom
- Calculated density: 3.8 g cm⁻³
- SG: C2/m
- Raw total energy: -3.110 eV per atom

Geometry as POSCAR:
```
NaTeSe
1.0
5.2530 -2.1826 0.0000
5.2530 2.1826 0.0000
-0.3173 0.0000 8.7084
Na Te Se
2 2 2
Direct
0.1222 0.1222 0.3744 Na
0.8778 0.8778 0.6256 Na
0.3261 0.3261 0.0764 Te
0.6739 0.6739 0.9236 Te
0.4107 0.4107 0.3784 Se
0.5893 0.5893 0.6216 Se
```